Density functional theory data (meta-GGA SCAN) for a PBEsol-optimized structure of SrCuMo2.

Lattice parameters (Å, degrees): 5.395 9.995 2.624 90.00 90.00 90.00
Positions (direct):
Sr  0.000  0.000  0.000
Sr  0.500  0.500  0.000
Cu  0.000  0.500  0.000
Cu  0.500  0.000  0.000
Mo  0.250  0.250  0.500
Mo  0.250  0.750  0.500
Mo  0.750  0.250  0.500
Mo  0.750  0.750  0.500

## Properties
* DFT formation energy: 1.090 eV per atom
* DOS at the Fermi energy: 5.8 states/eV/cell
* polymorph energy (0 for the lowest one): 34 meV/atom
* SG: No. 65

Density functional theory data (meta-GGA SCAN) for a PBEsol-optimized structure of NaSrP3O9.

Lattice parameters (Å, degrees): 6.833 7.155 7.757 83.96 80.75 82.85
Positions (direct):
Na  0.033  0.131  0.159
Na  0.967  0.869  0.841
Sr  0.488  0.770  0.858
Sr  0.512  0.230  0.142
P  0.107  0.619  0.221
P  0.301  0.836  0.443
P  0.333  0.289  0.774
P  0.667  0.711  0.226
P  0.699  0.164  0.557
P  0.893  0.381  0.779
O  0.128  0.355  0.702
O  0.150  0.766  0.071
O  0.166  0.414  0.198
O  0.192  0.668  0.391
O  0.251  0.843  0.637
O  0.274  0.010  0.321
O  0.320  0.114  0.900
O  0.415  0.445  0.845
O  0.464  0.247  0.588
O  0.536  0.753  0.412
O  0.585  0.555  0.155
O  0.680  0.886  0.100
O  0.726  0.990  0.679
O  0.749  0.157  0.363
O  0.808  0.332  0.609
O  0.834  0.586  0.802
O  0.850  0.234  0.929
O  0.872  0.645  0.298

## Properties
* energy relative to the elements, uncorrected: -37.7 eV/f.u.
* DOS at the Fermi energy: 0.0 states/eV/cell
* SG: No. 2

Density functional theory data (meta-GGA SCAN) for a PBEsol-optimized structure of Tl3FeSb.

Lattice parameters (Å, degrees): 5.771 5.771 5.771 90.00 90.00 90.00
Positions (direct):
Tl  0.000  0.000  0.500
Tl  0.000  0.500  0.000
Tl  0.500  0.000  0.000
Fe  0.500  0.500  0.500
Sb  0.000  0.000  0.000

## Properties
* energy relative to the elements, uncorrected: 5.4 eV/f.u.
* DOS at the Fermi energy: 10.2 states/eV/cell
* SG: No. 221

Density functional theory data (meta-GGA SCAN) for a PBEsol-optimized structure of Cd2In2Sn.

Lattice parameters (Å, degrees): 4.097 4.097 15.018 90.00 90.00 90.00
Positions (direct):
Cd  0.000  0.500  0.250
Cd  0.000  0.500  0.750
Cd  0.500  0.000  0.250
Cd  0.500  0.000  0.750
In  0.000  0.000  0.099
In  0.000  0.000  0.901
In  0.500  0.500  0.401
In  0.500  0.500  0.599
Sn  0.000  0.000  0.500
Sn  0.500  0.500  0.000

## Properties
* DFT formation energy: 0.157 eV per atom
* DOS at the Fermi energy: 4.4 states/eV/cell
* SG: No. 139

Number 1: E -25.721 eV/atom. Number 2: E -10.816 eV/atom. Number 3: E -53.419 eV/atom. Number 4: E -32.548 eV/atom.